[1]
A plane-wave DFT calculation with GGA-PBE was carried out for a relaxed SrHg4Pd2 crystal. Values from VASP.

**Space group**: Cmmm, No. 65
**Calculated density**: 10.66 Mg/m³
**Energy**: -2.168 eV/atom
**Relative energy among the computed polymorphs**: 57 meV/atom
**Energy relative to the elements**: -272 meV per atom

The structure in Quantum ESPRESSO input format:
```
&SYSTEM
  ibrav = 0, nat = 7, ntyp = 3
/
ATOMIC_SPECIES
Sr 87.62 Sr.upf
Hg 200.59 Hg.upf
Pd 106.42 Pd.upf
CELL_PARAMETERS angstrom
2.268 -8.556 0.000
2.268 8.556 0.000
0.000 0.000 4.425
ATOMIC_POSITIONS crystal
Sr 0.000 0.000 0.000
Hg 0.173 0.827 0.500
Hg 0.323 0.677 0.000
Hg 0.677 0.323 0.000
Hg 0.827 0.173 0.500
Pd 0.423 0.577 0.500
Pd 0.577 0.423 0.500
```

---

[2]
A plane-wave DFT calculation with GGA-PBE was carried out for a relaxed SrHg2Pd4 crystal. Values from VASP.

**Space group**: I4/mmm, No. 139
**Calculated density**: 7.83 Mg/m³
**Energy**: -3.199 eV/atom
**Energy relative to the elements**: 95 meV per atom

The structure in Quantum ESPRESSO input format:
```
&SYSTEM
  ibrav = 0, nat = 7, ntyp = 3
/
ATOMIC_SPECIES
Sr 87.62 Sr.upf
Hg 200.59 Hg.upf
Pd 106.42 Pd.upf
CELL_PARAMETERS angstrom
-4.067 4.067 2.930
4.067 -4.067 2.930
4.067 4.067 -2.930
ATOMIC_POSITIONS crystal
Sr 0.000 0.000 0.000
Hg 0.250 0.750 0.500
Hg 0.750 0.250 0.500
Pd 0.278 0.500 0.778
Pd 0.500 0.278 0.778
Pd 0.500 0.722 0.222
Pd 0.722 0.500 0.222
```